# 1
DFT (PBE) results for a relaxed structure of Nd4Tm3PuS8.

The structure in extended XYZ format:
```
16
Lattice="7.895 0.000 0.000 0.000 7.988 0.059 -3.948 -3.944 5.586" Properties=species:S:1:pos:R:3 pbc="T T T"
Nd 3.948 0.000 0.000
Nd 1.974 -1.972 2.793
Nd 0.000 0.000 0.000
Nd -1.974 -1.972 2.793
Tm 3.948 3.994 0.030
Tm 1.974 2.022 2.823
Tm -1.974 2.022 2.823
Pu 0.000 3.994 0.030
S -1.947 1.961 5.551
S 0.000 3.907 2.795
S 0.000 0.140 2.889
S 1.947 1.961 5.551
S 2.000 2.083 0.094
S 3.948 3.905 2.757
S 3.948 0.138 2.850
S 5.895 2.083 0.094
```

## Properties
Its volume is 354.13 Å³/cell. The value obtained for the density is 7.43 g/cm³. For the density of states at the Fermi level, the calculation gives 12.90 states/eV/cell. As for the total energy: -6.962 eV per atom. Its space-group type is No. 166. For the formation energy (no corrections), the calculation gives -1.972 eV/atom.

=====

# 2
DFT (PBE) results for a relaxed structure of Nd2Y3PuS6.

The structure in extended XYZ format:
```
12
Lattice="3.949 0.000 0.000 0.000 8.001 0.254 -1.975 -2.338 8.360" Properties=species:S:1:pos:R:3 pbc="T T T"
Nd 1.975 3.784 5.763
Nd 0.000 1.879 2.851
Y 1.975 4.001 0.127
Y 1.975 -0.245 5.608
Y 0.000 5.908 3.006
Pu 1.975 0.000 0.000
S 0.000 5.844 5.796
S 1.975 3.969 2.891
S 1.975 -0.180 2.819
S 1.975 -0.315 8.365
S 0.000 5.979 0.249
S 0.000 1.695 5.723
```

## Properties
Its volume is 266.51 Å³/cell. The value obtained for the density is 6.18 g/cm³. For the density of states at the Fermi level, the calculation gives 8.29 states/eV/cell. As for the total energy: -7.657 eV per atom. Its space-group type is No. 12. For the formation energy (no corrections), the calculation gives -1.988 eV/atom.

=====

# 3
DFT (PBE) results for a relaxed structure of Nd3Y2PuS6.

The structure in extended XYZ format:
```
12
Lattice="6.910 -0.003 0.000 -3.456 5.984 0.000 -1.152 -1.996 6.570" Properties=species:S:1:pos:R:3 pbc="T T T"
Nd -2.300 3.986 3.285
Nd 4.602 -0.001 3.285
Nd 1.151 1.993 3.285
Y -0.006 3.992 0.000
Y 3.461 1.989 0.000
Pu 0.000 0.000 0.000
S 3.459 1.982 5.008
S 2.297 3.977 1.557
S -1.157 2.003 1.562
S -0.011 3.986 5.008
S 0.005 0.008 5.013
S 2.313 -0.001 1.562
```

## Properties
Its volume is 271.57 Å³/cell. The value obtained for the density is 6.40 g/cm³. For the density of states at the Fermi level, the calculation gives 12.78 states/eV/cell. As for the total energy: -7.515 eV per atom. Its space-group type is No. 12. For the formation energy (no corrections), the calculation gives -1.988 eV/atom.

=====

# 4
DFT (PBE) results for a relaxed structure of Nd2YPuS4.

The structure in extended XYZ format:
```
8
Lattice="3.983 0.000 0.000 0.000 6.927 0.135 0.000 -2.412 6.530" Properties=species:S:1:pos:R:3 pbc="T T T"
Nd 1.991 -1.206 3.265
Nd 0.000 2.258 3.332
Y 0.000 0.000 0.000
Pu 1.991 3.463 0.067
S 1.991 1.120 1.584
S 1.991 3.396 5.080
S 0.000 -0.085 5.006
S 0.000 4.600 1.659
```

## Properties
Its volume is 181.44 Å³/cell. The value obtained for the density is 6.86 g/cm³. For the density of states at the Fermi level, the calculation gives 8.27 states/eV/cell. As for the total energy: -7.827 eV per atom. Its space-group type is No. 10. For the formation energy (no corrections), the calculation gives -1.972 eV/atom.

=====

# 5
DFT (PBE) results for a relaxed structure of NdPuSb2.

The structure in extended XYZ format:
```
4
Lattice="3.334 0.000 0.000 0.000 5.792 0.000 0.000 0.000 5.792" Properties=species:S:1:pos:R:3 pbc="T T T"
Sb 0.000 0.000 2.896
Sb 0.000 2.896 0.000
Nd 1.667 2.896 2.896
Pu 1.667 0.000 0.000
```

## Properties
Its volume is 111.85 Å³/cell. The value obtained for the density is 9.38 g/cm³. For the density of states at the Fermi level, the calculation gives 11.26 states/eV/cell. As for the total energy: -7.586 eV per atom. Its space-group type is No. 123. For the formation energy (no corrections), the calculation gives -0.750 eV/atom.

=====

# 6
DFT (PBE) results for a relaxed structure of Nd5PuSb5.

The structure in extended XYZ format:
```
11
Lattice="-3.573 0.478 5.203 5.441 -5.508 0.392 3.989 7.725 2.030" Properties=species:S:1:pos:R:3 pbc="T T T"
Nd 0.785 1.013 4.296
Nd 2.760 4.927 5.293
Nd 1.994 3.862 1.015
Nd 3.096 -2.233 2.332
Nd 5.072 1.682 3.328
Pu 0.000 0.000 0.000
Sb 1.325 -2.007 4.944
Sb 3.329 1.871 5.965
Sb -1.787 0.239 2.601
Sb 2.527 0.824 1.660
Sb 4.532 4.702 2.680
```

## Properties
Its volume is 379.22 Å³/cell. The value obtained for the density is 6.89 g/cm³. For the density of states at the Fermi level, the calculation gives 19.62 states/eV/cell. As for the total energy: -6.249 eV per atom. Its space-group type is No. 12. For the formation energy (no corrections), the calculation gives -0.905 eV/atom.

=====

# 7
DFT (PBE) results for a relaxed structure of Nd2PuSb.

The structure in extended XYZ format:
```
4
Lattice="4.671 0.000 0.000 0.000 4.964 0.000 0.000 0.000 4.964" Properties=species:S:1:pos:R:3 pbc="T T T"
Sb 2.336 2.482 2.482
Nd 0.000 0.000 2.482
Nd 0.000 2.482 0.000
Pu 2.336 0.000 0.000
```

## Properties
Its volume is 115.11 Å³/cell. The value obtained for the density is 9.44 g/cm³. For the density of states at the Fermi level, the calculation gives 10.53 states/eV/cell. As for the total energy: -7.440 eV per atom. Its space-group type is No. 123. For the formation energy (no corrections), the calculation gives -0.442 eV/atom.

=====

# 8
DFT (PBE) results for a relaxed structure of Nd3PuSb4.

The structure in extended XYZ format:
```
8
Lattice="-1.635 3.838 -1.709 -7.154 -3.084 -0.080 1.219 3.557 6.823" Properties=species:S:1:pos:R:3 pbc="T T T"
Nd 0.610 1.779 3.411
Nd -3.785 2.156 2.517
Nd -3.577 -1.542 -0.040
Pu -0.818 1.919 -0.854
Sb -1.451 0.116 1.649
Sb -5.901 0.477 0.772
Sb -4.483 0.358 5.093
Sb -1.668 3.834 4.262
```

## Properties
Its volume is 257.95 Å³/cell. The value obtained for the density is 7.49 g/cm³. For the density of states at the Fermi level, the calculation gives 16.68 states/eV/cell. As for the total energy: -6.673 eV per atom. Its space-group type is No. 65. For the formation energy (no corrections), the calculation gives -1.032 eV/atom.